Record 1
Material: TeSeOF2
Method: DFT, PBE-GGA
State: optimized geometry

## Properties
**Space-group type**: No. 123
**Formation energy without anion corrections**: -0.34 eV per atom
**E_tot**: -0.125 Ha/atom
**Crystal system**: tetragonal

Cell: 4.814 4.814 3.708 Å, 90.00 90.00 90.00°
Sites, in units of the cell vectors:
Te  0.500  0.500  0.500
O  0.000  0.000  0.500
Se  0.000  0.000  0.000
F  0.000  0.500  0.000
F  0.500  0.000  0.000


Record 2
Material: NaHf2Te4
Method: DFT, PBE-GGA
State: optimized geometry

## Properties
**Space-group type**: No. 63
**Formation energy without anion corrections**: -0.75 eV per atom
**E_tot**: -0.205 Ha/atom
**Crystal system**: orthorhombic

Cell: 4.126 7.125 14.596 Å, 90.00 90.00 106.83°
Sites, in units of the cell vectors:
Na  0.610  0.220  0.750
Na  0.390  0.780  0.250
Hf  0.132  0.264  0.434
Hf  0.868  0.736  0.934
Hf  0.132  0.264  0.066
Hf  0.868  0.736  0.566
Te  0.774  0.548  0.115
Te  0.774  0.548  0.385
Te  0.226  0.452  0.885
Te  0.226  0.452  0.615
Te  0.936  0.872  0.750
Te  0.064  0.128  0.250
Te  0.500  0.000  0.000
Te  0.500  0.000  0.500


Record 3
Material: YAs2Pb
Method: DFT, PBE-GGA
State: optimized geometry

## Properties
**Space-group type**: No. 10
**E_tot**: -0.200 Ha/atom
**ΔH_f (0 K)**: -0.58 eV/atom
**Crystal system**: monoclinic

Cell: 3.986 3.858 6.948 Å, 70.19 90.00 90.00°
Sites, in units of the cell vectors:
Pb  0.500  0.250  0.250
Y  0.500  0.750  0.750
As  0.000  0.083  0.947
As  0.000  0.417  0.553


Record 4
Material: La2Cu5Ni2Pd
Method: DFT, PBE-GGA
State: optimized geometry

## Properties
**Space-group type**: No. 127
**E_tot**: -0.180 Ha/atom
**ΔH_f (0 K)**: -0.19 eV/atom
**Crystal system**: tetragonal

Cell: 3.921 9.135 9.135 Å, 90.00 90.00 90.00°
Sites, in units of the cell vectors:
La  0.000  0.687  0.187
La  0.000  0.313  0.813
La  0.000  0.187  0.313
La  0.000  0.813  0.687
Cu  0.500  0.204  0.052
Cu  0.500  0.796  0.948
Cu  0.500  0.052  0.796
Cu  0.500  0.704  0.448
Cu  0.500  0.948  0.204
Cu  0.500  0.296  0.552
Cu  0.500  0.552  0.704
Cu  0.500  0.448  0.296
Cu  0.500  0.500  0.000
Cu  0.500  0.000  0.500
Ni  0.000  0.113  0.613
Ni  0.000  0.887  0.387
Ni  0.000  0.613  0.887
Ni  0.000  0.387  0.113
Pd  0.000  0.000  0.000
Pd  0.000  0.500  0.500